Entry 1:
Density functional theory data (GGA-PBE) for NbNiC3 after structural relaxation.

a b c (Å): 4.1454 4.1454 4.1454
angles (deg): 90.00 90.00 90.00
With the nearest neighbours (Å) after each atom.
Element x y z (fractional)
1 C 0.0000 0.0000 0.5000  2 Nb 2.07
2 C 0.0000 0.5000 0.0000  2 Nb 2.07
3 C 0.5000 0.0000 0.0000  2 Nb 2.07
4 Nb 0.0000 0.0000 0.0000  6 C 2.07
5 Ni 0.5000 0.5000 0.5000  12 C 2.93

Properties
Energy above the most stable polymorph in this dataset: 465.9 meV/atom
SG: Pm-3m, No. 221
Total moment: 0.84 Bohr magnetons per cell
DFT total energy: -32.0 eV/cell
Density of states at the Fermi level: 3.4 states/eV/cell


Entry 2:
Density functional theory data (GGA-PBE) for NbNiPt2C after structural relaxation.

a b c (Å): 4.8028 3.3682 4.8028
angles (deg): 90.00 90.00 90.00
With the nearest neighbours (Å) after each atom.
Element x y z (fractional)
1 Pt 0.5000 0.0000 0.0000  2 Ni 2.40
2 C 0.0000 0.5000 0.0000  2 Ni 1.68
3 Nb 0.5000 0.5000 0.5000  8 Pt 2.93
4 Pt 0.0000 0.0000 0.5000  2 Ni 2.40
5 Ni 0.0000 0.0000 0.0000  2 C 1.68

Properties
SG: P4/mmm, No. 123
Total moment: 0.00 Bohr magnetons per cell
DFT total energy: -33.1 eV/cell
Density of states at the Fermi level: 4.5 states/eV/cell


Entry 3:
Density functional theory data (GGA-PBE) for Nb2NiPtC after structural relaxation.

a b c (Å): 4.3197 4.3197 3.7688
angles (deg): 90.00 90.00 90.00
With the nearest neighbours (Å) after each atom.
Element x y z (fractional)
1 Ni 0.0000 0.0000 0.5000  2 C 1.88
2 Pt 0.5000 0.5000 0.5000  8 Nb 2.87, 4 Ni 3.05
3 Nb 0.0000 0.5000 0.0000  2 C 2.16
4 C 0.0000 0.0000 0.0000  2 Ni 1.88
5 Nb 0.5000 0.0000 0.0000  2 C 2.16

Properties
SG: P4/mmm, No. 123
Total moment: 0.00 Bohr magnetons per cell
DFT total energy: -42.8 eV/cell
Density of states at the Fermi level: 2.8 states/eV/cell


Entry 4:
Density functional theory data (GGA-PBE) for Nb4NiC2S4 after structural relaxation.

a b c (Å): 3.3247 5.7523 8.6615
angles (deg): 77.80 90.00 90.00
With the nearest neighbours (Å) after each atom.
Element x y z (fractional)
1 Nb 0.0000 0.8828 0.3625  3 C 2.23-2.27
2 S 0.0000 0.7228 0.8352  1 Ni 2.35, 3 Nb 2.53-2.54
3 S 0.0000 0.2772 0.1648  1 Ni 2.35, 3 Nb 2.53-2.54
4 C 0.5000 0.0000 0.5000  6 Nb 2.21-2.23
5 Nb 0.5000 0.3703 0.3631  3 C 2.21-2.26
6 S 0.5000 0.7731 0.1638  2 Ni 2.39, 3 Nb 2.57-2.58
7 Ni 0.0000 0.0000 0.0000  6 S 2.35-2.39
8 S 0.5000 0.2269 0.8362  2 Ni 2.39, 3 Nb 2.57-2.58
9 Nb 0.0000 0.1172 0.6375  3 C 2.23-2.27
10 Nb 0.5000 0.6297 0.6369  3 C 2.21-2.26
11 C 0.0000 0.5000 0.5000  6 Nb 2.26-2.27

Properties
SG: P2/m, No. 10
ΔE_f (raw): -8.50 eV per formula unit
Total moment: 0.73 Bohr magnetons per cell
DFT total energy: -89.5 eV/cell
Density of states at the Fermi level: 5.0 states/eV/cell


Entry 5:
Density functional theory data (GGA-PBE) for Ti2NbNiC after structural relaxation.

a b c (Å): 4.1038 4.2663 4.1038
angles (deg): 90.00 90.00 90.00
With the nearest neighbours (Å) after each atom.
Element x y z (fractional)
1 Ni 0.5000 0.5000 0.5000  4 Nb 2.90, 8 Ti 2.96
2 Ti 0.5000 0.0000 0.0000  2 C 2.05
3 Ti 0.0000 0.0000 0.5000  2 C 2.05
4 C 0.0000 0.0000 0.0000  4 Ti 2.05, 2 Nb 2.13
5 Nb 0.0000 0.5000 0.0000  2 C 2.13

Properties
SG: P4/mmm, No. 123
Total moment: 0.00 Bohr magnetons per cell
DFT total energy: -42.3 eV/cell
Density of states at the Fermi level: 3.7 states/eV/cell


Entry 6:
Density functional theory data (GGA-PBE) for NbTlNi2C after structural relaxation.

a b c (Å): 4.5759 5.2845 4.5759
angles (deg): 90.00 90.00 90.00
With the nearest neighbours (Å) after each atom.
Element x y z (fractional)
1 C 0.5000 0.5000 0.5000  4 Nb 3.24, 8 Ni 3.50
2 Ni 0.0000 0.0000 0.5000  2 Tl 2.29
3 Tl 0.0000 0.0000 0.0000  4 Ni 2.29
4 Nb 0.0000 0.5000 0.0000  2 Tl 2.64
5 Ni 0.5000 0.0000 0.0000  2 Tl 2.29

Properties
SG: P4/mmm, No. 123
Total moment: 0.00 Bohr magnetons per cell
DFT total energy: -19.3 eV/cell
Density of states at the Fermi level: 9.2 states/eV/cell


Entry 7:
Density functional theory data (GGA-PBE) for NbTl2NiC after structural relaxation.

a b c (Å): 5.6123 4.5159 5.6123
angles (deg): 90.00 90.00 90.00
With the nearest neighbours (Å) after each atom.
Element x y z (fractional)
1 Ni 0.0000 0.5000 0.0000  2 Nb 2.26
2 Tl 0.5000 0.0000 0.0000  2 Nb 2.81
3 Tl 0.0000 0.0000 0.5000  2 Nb 2.81
4 C 0.5000 0.5000 0.5000  8 Tl 3.60, 4 Ni 3.97
5 Nb 0.0000 0.0000 0.0000  2 Ni 2.26

Properties
SG: P4/mmm, No. 123
Total moment: 0.43 Bohr magnetons per cell
DFT total energy: -19.1 eV/cell
Density of states at the Fermi level: 4.4 states/eV/cell


Entry 8:
Density functional theory data (GGA-PBE) for Nb6V3Ni3C2 after structural relaxation.

a b c (Å): 8.1969 8.1969 8.1969
angles (deg): 120.15 119.97 89.90
With the nearest neighbours (Å) after each atom.
Element x y z (fractional)
1 Nb 0.4337 0.3144 0.5011  2 C 2.18
2 Ni 0.4529 0.2987 0.8457  5 V 2.47-2.60, 1 Ni 2.52
3 V 0.4560 0.2937 0.1623  4 V 2.54-2.66, 2 Ni 2.60, 3 Nb 2.78-2.79
4 Nb 0.8180 0.3180 0.5000  2 C 2.19
5 C 0.7494 0.9998 0.7496  6 Nb 2.16-2.21
6 Nb 0.4337 0.9326 0.1193  2 C 2.18
7 C 0.7483 0.4967 0.7484  6 Nb 2.17-2.19
8 Nb 0.0626 0.6837 0.9991  2 C 2.18-2.19
9 Ni 0.3553 0.7009 0.6545  3 V 2.41-2.42, 3 Ni 2.53-2.55
10 V 0.2574 0.5051 0.7523  5 Ni 2.41-2.48, 1 V 2.55
11 Ni 0.0464 0.7009 0.3455  3 V 2.41-2.42, 3 Ni 2.53-2.55
12 V 0.2515 0.9931 0.7416  4 Ni 2.42-2.49, 2 V 2.54
13 V 0.1314 0.2937 0.8377  4 V 2.54-2.66, 2 Ni 2.60, 3 Nb 2.78-2.79
14 Ni 0.0456 0.3876 0.3420  3 V 2.48-2.49, 3 Ni 2.55-2.58
15 V 0.2515 0.5099 0.2584  4 Ni 2.42-2.49, 2 V 2.54
16 C 0.7483 0.9999 0.2516  6 Nb 2.17-2.19
17 V 0.7528 0.5051 0.2477  5 Ni 2.41-2.48, 1 V 2.55
18 Nb 0.8134 0.9326 0.4989  2 C 2.18
19 Nb 0.6846 0.0636 0.0009  2 C 2.18-2.19
20 Nb 0.6846 0.6837 0.6210  2 C 2.18-2.19
21 Nb 0.8134 0.3144 0.8807  2 C 2.18
22 Nb 0.4393 0.9393 0.5000  2 C 2.16
23 Ni 0.0456 0.7036 0.6580  3 V 2.48-2.49, 3 Ni 2.55-2.58
24 Nb 0.0626 0.0636 0.3790  2 C 2.18-2.19
25 Nb 0.6886 0.6886 0.0000  2 C 2.17
26 C 0.2502 0.9998 0.2504  6 Nb 2.16-2.21
27 Nb 0.0698 0.0698 0.0000  2 C 2.21
28 Ni 0.4529 0.6072 0.1543  5 V 2.47-2.60, 1 Ni 2.52

Properties
SG: Imm2, No. 44
Total moment: 0.00 Bohr magnetons per cell
DFT total energy: -256.6 eV/cell
Density of states at the Fermi level: 21.8 states/eV/cell